## i
Here is crystalline TlBO2 at its relaxed geometry from the Alexandria database. Energies are from PBEsol.

Cell: 7.336 7.336 9.379 Å, 90.00 90.00 90.00°
Fractional positions:
B 0.132 0.456 0.420
B 0.403 0.548 0.271
B 0.544 0.132 0.670
B 0.597 0.452 0.771
B 0.548 0.597 0.021
B 0.456 0.868 0.170
B 0.868 0.544 0.920
B 0.452 0.403 0.521
O 0.514 0.461 0.381
O 0.950 0.437 0.441
O 0.050 0.563 0.941
O 0.539 0.514 0.631
O 0.461 0.486 0.131
O 0.793 0.498 0.789
O 0.207 0.502 0.289
O 0.502 0.793 0.039
O 0.486 0.539 0.881
O 0.563 0.950 0.691
O 0.498 0.207 0.539
O 0.424 0.749 0.284
O 0.749 0.576 0.034
O 0.251 0.424 0.534
O 0.437 0.050 0.191
O 0.576 0.251 0.784
Tl 0.253 0.023 0.407
Tl 0.270 0.736 0.743
Tl 0.264 0.270 0.993
Tl 0.747 0.977 0.907
Tl 0.736 0.730 0.493
Tl 0.023 0.747 0.157
Tl 0.977 0.253 0.657
Tl 0.730 0.264 0.243

The value obtained for the magnetization is 0.0 μB per formula unit.


## ii
Here is crystalline TlBO2 at its relaxed geometry from the Alexandria database. Energies are from PBEsol.

Cell: 4.115 4.115 6.113 Å, 70.33 70.33 60.00°
Fractional positions:
Tl 0.500 0.500 0.500
O 0.925 0.925 0.225
O 0.075 0.075 0.775
B 0.000 0.000 0.000

The value obtained for the magnetization is 0.0 μB per formula unit.


i ends up most stable, edging out the next structure by 0.316 eV/atom.


## i
Here is crystalline B3OsPt at its relaxed geometry from the Alexandria database. Energies are from PBEsol.

Cell: 4.023 4.023 4.023 Å, 90.00 90.00 90.00°
Fractional positions:
Pt 0.500 0.500 0.500
B 0.000 0.000 0.500
B 0.500 0.000 0.000
B 0.000 0.500 0.000
Os 0.000 0.000 0.000

The value obtained for the magnetization is 0.0 μB per formula unit.


## ii
Here is crystalline B3OsPt at its relaxed geometry from the Alexandria database. Energies are from PBEsol.

Cell: 3.990 3.990 3.990 Å, 90.00 90.00 90.00°
Fractional positions:
B 0.000 0.500 0.000
B 0.500 0.000 0.000
B 0.000 0.000 0.500
Pt 0.000 0.000 0.000
Os 0.500 0.500 0.500

The value obtained for the magnetization is 0.0 μB per formula unit.


i ends up most stable, edging out the next structure by 0.591 eV/atom.


## i
Here is crystalline ScB2Os at its relaxed geometry from the Alexandria database. Energies are from PBEsol.

Cell: 4.017 4.017 7.550 Å, 105.43 105.43 90.00°
Fractional positions:
B 0.125 0.875 0.250
B 0.625 0.875 0.750
B 0.125 0.875 0.750
B 0.125 0.375 0.250
Os 0.000 0.000 0.000
Os 0.250 0.750 0.500
Sc 0.500 0.500 0.000
Sc 0.750 0.250 0.500

The value obtained for the magnetization is 0.0 μB per formula unit.


## ii
Here is crystalline ScB2Os at its relaxed geometry from the Alexandria database. Energies are from PBEsol.

Cell: 5.167 5.611 6.138 Å, 90.00 90.00 90.00°
Fractional positions:
Sc 0.250 0.510 0.829
Sc 0.250 0.010 0.671
Sc 0.750 0.990 0.329
Sc 0.750 0.490 0.171
B 0.420 0.854 0.033
B 0.580 0.146 0.967
B 0.920 0.646 0.533
B 0.420 0.354 0.467
B 0.080 0.354 0.467
B 0.580 0.646 0.533
B 0.080 0.854 0.033
B 0.920 0.146 0.967
Os 0.250 0.177 0.180
Os 0.750 0.823 0.820
Os 0.750 0.323 0.680
Os 0.250 0.677 0.320

The value obtained for the magnetization is 0.0 μB per formula unit.


ii ends up most stable, edging out the next structure by 0.655 eV/atom.


## i
Here is crystalline BOs3Se at its relaxed geometry from the Alexandria database. Energies are from PBEsol.

Cell: 4.475 4.475 4.475 Å, 90.00 90.00 90.00°
Site moments in Bohr magnetons follow the coordinates.
Fractional positions:
Se 0.000 0.000 0.000  -0.01
Os 0.000 0.000 0.500  0.31
Os 0.500 0.000 0.000  0.31
Os 0.000 0.500 0.000  0.31
B 0.500 0.500 0.500  0.06

The value obtained for the magnetization is 1.1 μB per formula unit.


## ii
Here is crystalline BOs3Se at its relaxed geometry from the Alexandria database. Energies are from PBEsol.

Cell: 4.104 4.104 4.104 Å, 90.00 90.00 90.00°
Fractional positions:
Se 0.500 0.500 0.500
B 0.000 0.000 0.000
Os 0.000 0.500 0.000
Os 0.500 0.000 0.000
Os 0.000 0.000 0.500

The value obtained for the magnetization is 0.0 μB per formula unit.


ii ends up most stable, edging out the next structure by 2.011 eV/atom.


## i
Here is crystalline B2OsW2 at its relaxed geometry from the Alexandria database. Energies are from PBEsol.

Cell: 3.660 5.543 5.543 Å, 90.00 90.00 90.00°
Fractional positions:
W 0.500 0.670 0.830
W 0.500 0.330 0.170
W 0.500 0.830 0.330
W 0.500 0.170 0.670
Os 0.000 0.500 0.500
Os 0.000 0.000 0.000
B 0.000 0.617 0.117
B 0.000 0.883 0.617
B 0.000 0.117 0.383
B 0.000 0.383 0.883

The value obtained for the magnetization is 0.0 μB per formula unit.


## ii
Here is crystalline B2OsW2 at its relaxed geometry from the Alexandria database. Energies are from PBEsol.

Cell: 3.061 7.539 9.621 Å, 90.00 90.00 90.00°
Fractional positions:
W 0.000 0.926 0.360
W 0.500 0.192 0.869
W 0.000 0.308 0.369
W 0.500 0.426 0.140
W 0.000 0.692 0.631
W 0.500 0.574 0.860
W 0.500 0.808 0.131
W 0.000 0.074 0.640
B 0.500 0.884 0.539
B 0.000 0.616 0.039
B 0.000 0.384 0.961
B 0.500 0.124 0.268
B 0.500 0.116 0.461
B 0.000 0.376 0.768
B 0.000 0.624 0.232
B 0.500 0.876 0.732
Os 0.500 0.382 0.607
Os 0.500 0.618 0.393
Os 0.000 0.118 0.107
Os 0.000 0.882 0.893

The value obtained for the magnetization is 0.0 μB per formula unit.


ii ends up most stable, edging out the next structure by 0.060 eV/atom.


## i
Here is crystalline BP2S2 at its relaxed geometry from the Alexandria database. Energies are from PBEsol.

Cell: 4.527 4.404 4.404 Å, 90.00 90.00 90.00°
Fractional positions:
S 0.000 0.000 0.000
S 0.500 0.000 0.000
B 0.500 0.500 0.500
P 0.000 0.500 0.000
P 0.000 0.000 0.500

The value obtained for the magnetization is 0.0 μB per formula unit.


## ii
Here is crystalline BP2S2 at its relaxed geometry from the Alexandria database. Energies are from PBEsol.

Cell: 4.431 4.401 4.401 Å, 90.00 90.00 90.00°
Fractional positions:
S 0.000 0.000 0.500
S 0.000 0.500 0.000
P 0.000 0.000 0.000
P 0.500 0.000 0.000
B 0.500 0.500 0.500

The value obtained for the magnetization is 0.0 μB per formula unit.


ii ends up most stable, edging out the next structure by 0.275 eV/atom.